[1]
HgAs2Se | PBEsol | relaxed

For the raw total energy, the calculation gives -3.32 eV per atom. As for the density of states at the Fermi level: 1.56 states/eV/f.u. For the total magnetization, the calculation gives 0.00 μB per cell. For the energy relative to the lowest polymorph listed for this composition, the calculation gives 0.66 eV/f.u.

It has space group P4/mmm (No. 123), with a = 3.6170 Å, b = 3.6170 Å, c = 6.8788 Å, α = 90.00°, β = 90.00° and γ = 90.00°. Symmetry generates all atoms from Hg at (0.0000, 0.0000, 0.0000), As at (0.5000, 0.5000, 0.3210) and Se at (0.0000, 0.0000, 0.5000).

---

[2]
HgAs2Se | PBEsol | relaxed

For the raw total energy, the calculation gives -3.30 eV per atom. As for the density of states at the Fermi level: 2.11 states/eV/f.u. For the total magnetization, the calculation gives 0.00 μB per cell. For the energy relative to the lowest polymorph listed for this composition, the calculation gives 0.75 eV/f.u.

It has space group Cmmm (No. 65), with a = 3.3391 Å, b = 5.2157 Å, c = 9.3027 Å, α = 90.00°, β = 90.00° and γ = 90.00°. Symmetry generates all atoms from Hg at (0.0000, 0.0000, 0.0000), As at (0.0000, 0.5000, 0.2745) and Se at (0.0000, 0.0000, 0.5000).

---

[3]
SnHgAs2Se | PBEsol | relaxed

For the raw total energy, the calculation gives -3.01 eV per atom. As for the density of states at the Fermi level: 5.70 states/eV/f.u. For the total magnetization, the calculation gives 0.56 μB per cell.

It has space group P4/mmm (No. 123), with a = 5.2617 Å, b = 5.2617 Å, c = 5.1642 Å, α = 90.00°, β = 90.00° and γ = 90.00°. Symmetry generates all atoms from Sn at (0.0000, 0.0000, 0.0000), Hg at (0.5000, 0.5000, 0.5000), As at (0.0000, 0.5000, 0.0000) and Se at (0.0000, 0.0000, 0.5000).

---

[4]
TaHgAs2Se | PBEsol | relaxed

For the raw total energy, the calculation gives -5.25 eV per atom. As for the density of states at the Fermi level: 3.74 states/eV/f.u. For the total magnetization, the calculation gives 0.00 μB per cell.

It has space group P4/mmm (No. 123), with a = 5.0145 Å, b = 5.0145 Å, c = 4.8881 Å, α = 90.00°, β = 90.00° and γ = 90.00°. Symmetry generates all atoms from Ta at (0.0000, 0.0000, 0.0000), Hg at (0.5000, 0.5000, 0.5000), As at (0.0000, 0.5000, 0.0000) and Se at (0.0000, 0.0000, 0.5000).

---

[5]
YHgAs2Se | PBEsol | relaxed

For the raw total energy, the calculation gives -4.04 eV per atom. As for the density of states at the Fermi level: 3.52 states/eV/f.u. For the total magnetization, the calculation gives 0.00 μB per cell.

It has space group P4/mmm (No. 123), with a = 5.0353 Å, b = 5.0353 Å, c = 5.1375 Å, α = 90.00°, β = 90.00° and γ = 90.00°. Symmetry generates all atoms from Y at (0.0000, 0.0000, 0.0000), Hg at (0.5000, 0.5000, 0.5000), As at (0.0000, 0.5000, 0.5000) and Se at (0.5000, 0.5000, 0.0000).

---

[6]
ZnHgAsSe2 | PBEsol | relaxed

For the raw total energy, the calculation gives -2.46 eV per atom. As for the density of states at the Fermi level: 5.86 states/eV/f.u. For the total magnetization, the calculation gives 0.00 μB per cell.

It has space group P4/mmm (No. 123), with a = 4.8245 Å, b = 4.8245 Å, c = 4.9055 Å, α = 90.00°, β = 90.00° and γ = 90.00°. Symmetry generates all atoms from Zn at (0.0000, 0.0000, 0.0000), Hg at (0.5000, 0.5000, 0.5000), As at (0.0000, 0.0000, 0.5000) and Se at (0.0000, 0.5000, 0.0000).

---

[7]
Si2HgAs | PBEsol | relaxed

For the raw total energy, the calculation gives -3.87 eV per atom. As for the density of states at the Fermi level: 1.81 states/eV/f.u. For the total magnetization, the calculation gives 0.00 μB per cell. For the energy relative to the lowest polymorph listed for this composition, the calculation gives 0.00 eV/f.u.

It has space group Imm2 (No. 44), with a = 3.2931 Å, b = 4.4541 Å, c = 9.9770 Å, α = 90.00°, β = 90.00° and γ = 90.00°. Symmetry generates all atoms from Si at (0.0000, 0.0000, 0.0000), Si at (0.0000, 0.5000, 0.2952), Hg at (0.0000, 0.0000, 0.4917) and As at (0.0000, 0.5000, 0.7030).

---

[8]
Si2HgAs | PBEsol | relaxed

For the raw total energy, the calculation gives -3.87 eV per atom. As for the density of states at the Fermi level: 1.52 states/eV/f.u. For the total magnetization, the calculation gives 0.00 μB per cell. For the energy relative to the lowest polymorph listed for this composition, the calculation gives 0.01 eV/f.u.

It has space group P4/mmm (No. 123), with a = 3.2649 Å, b = 3.2649 Å, c = 6.9615 Å, α = 90.00°, β = 90.00° and γ = 90.00°. Symmetry generates all atoms from Si at (0.0000, 0.0000, 0.1988), Hg at (0.5000, 0.5000, 0.5000) and As at (0.5000, 0.5000, 0.0000).